Record 1
This record from Alexandria via LeMat-Bulk describes a relaxed structure of Ac8Sm3Dy2. The functional is PBE.

Calculated values
calculated formation energy	0.05	eV/atom
DOS(E_F)	1.664	states/eV/atom

Geometry as POSCAR:
```
Ac8Sm3Dy2
1.0
6.5487 -0.0065 1.0545
-1.7081 7.4938 3.8065
-1.6151 -0.5875 10.0368
Ac Sm Dy
8 3 2
Direct
0.2333 0.3831 0.0807
0.7667 0.6169 0.9193
0.1578 0.9188 0.3874
0.8422 0.0812 0.6126
0.3100 0.8551 0.7718
0.0842 0.4576 0.6935
0.9158 0.5424 0.3065
0.6900 0.1449 0.2282
0.0000 0.0000 0.0000
0.5397 0.2294 0.8440
0.4603 0.7706 0.1560
0.6141 0.6824 0.5392
0.3859 0.3176 0.4608
```

=====

Record 2
This record from Alexandria via LeMat-Bulk describes a relaxed structure of Ac5Sm6Dy2. The functional is PBE.

Calculated values
calculated formation energy	0.08	eV/atom
DOS(E_F)	1.496	states/eV/atom

Geometry as POSCAR:
```
Ac5Sm6Dy2
1.0
3.7977 0.0000 0.0000
0.0000 11.9486 0.0000
0.0000 0.0000 21.8689
Ac Sm Dy
10 12 4
Direct
0.5000 0.4316 0.4247
0.5000 0.5684 0.5753
0.5000 0.9316 0.0753
0.5000 0.0684 0.9247
0.5000 0.6447 0.2769
0.5000 0.3553 0.7231
0.5000 0.1447 0.2231
0.5000 0.8553 0.7769
0.5000 0.5000 0.0000
0.5000 0.0000 0.5000
0.0000 0.1615 0.3807
0.0000 0.8385 0.6193
0.0000 0.6615 0.1193
0.0000 0.3385 0.8807
0.5000 0.4165 0.1528
0.5000 0.5835 0.8472
0.5000 0.9165 0.3472
0.5000 0.0835 0.6528
0.0000 0.7258 0.4428
0.0000 0.2742 0.5572
0.0000 0.2258 0.0572
0.0000 0.7742 0.9428
0.0000 0.3830 0.2832
0.0000 0.6170 0.7168
0.0000 0.8830 0.2168
0.0000 0.1170 0.7832
```

=====

Record 3
This record from Alexandria via LeMat-Bulk describes a relaxed structure of AcSm6Dy3. The functional is PBE.

Calculated values
calculated formation energy	0.07	eV/atom
DOS(E_F)	1.431	states/eV/atom
distance to the lowest polymorph of the same formula	0.000	eV/atom

Geometry as POSCAR:
```
AcSm6Dy3
1.0
3.6864 0.0000 0.0000
0.0000 12.6398 -1.4663
0.0000 3.2955 14.3667
Ac Sm Dy
2 12 6
Direct
0.2500 0.3436 0.8694
0.7500 0.6564 0.1306
0.2500 0.3989 0.5341
0.7500 0.6011 0.4659
0.2500 0.8720 0.9921
0.7500 0.1280 0.0079
0.2500 0.7747 0.5755
0.7500 0.2253 0.4245
0.2500 0.7568 0.3171
0.7500 0.2432 0.6829
0.2500 0.6126 0.9141
0.7500 0.3874 0.0859
0.2500 0.1668 0.2276
0.7500 0.8332 0.7724
0.2500 0.0407 0.5925
0.7500 0.9593 0.4075
0.2500 0.4534 0.2939
0.7500 0.5466 0.7061
0.2500 0.0612 0.8182
0.7500 0.9388 0.1818
```

=====

Record 4
This record from Alexandria via LeMat-Bulk describes a relaxed structure of Ac10Sm4Dy. The functional is PBE.

Calculated values
calculated formation energy	0.58	eV/atom
DOS(E_F)	1.534	states/eV/atom

Geometry as POSCAR:
```
Ac10Sm4Dy
1.0
7.5700 0.0000 3.4182
3.7850 9.2965 1.7091
-0.0408 0.0000 10.1819
Ac Sm Dy
10 4 1
Direct
0.2500 0.5000 0.5000
0.6512 0.2989 0.9005
0.0499 0.0995 0.2989
0.4483 0.9005 0.7011
0.8506 0.7011 0.0995
0.3488 0.7011 0.0995
0.7500 0.5000 0.5000
0.1494 0.2989 0.9005
0.5517 0.0995 0.2989
0.9501 0.9005 0.7011
0.4000 0.8000 0.4000
0.8000 0.6000 0.8000
0.2000 0.4000 0.2000
0.6000 0.2000 0.6000
0.0000 0.0000 0.0000
```

=====

Record 5
This record from Alexandria via LeMat-Bulk describes a relaxed structure of Ac8Sm2Dy. The functional is PBE.

Calculated values
calculated formation energy	0.13	eV/atom
DOS(E_F)	1.739	states/eV/atom

Geometry as POSCAR:
```
Ac8Sm2Dy
1.0
5.7303 0.0000 -1.7400
-1.1120 8.2342 -3.6622
-0.0489 -0.5014 10.1447
Ac Sm Dy
8 2 1
Direct
0.6414 0.8493 0.2829
0.3586 0.5665 0.7172
0.1594 0.1594 0.3188
0.0000 0.2959 0.0000
0.8406 0.8406 0.6812
0.6414 0.4335 0.2828
0.3586 0.1507 0.7171
0.0000 0.7041 0.0000
0.1999 0.6998 0.3997
0.8001 0.3002 0.6003
0.5000 0.0000 0.0000
```

=====

Record 6
This record from Alexandria via LeMat-Bulk describes a relaxed structure of Ac2SmDy. The functional is PBE.

Calculated values
calculated formation energy	0.10	eV/atom
DOS(E_F)	1.765	states/eV/atom
distance to the lowest polymorph of the same formula	0.065	eV/atom

Geometry as POSCAR:
```
Ac2SmDy
1.0
6.0169 0.0000 0.0000
3.0084 5.2108 0.0000
3.0084 1.7369 4.9128
Ac Sm Dy
2 1 1
Direct
0.2500 0.2500 0.2500
0.7500 0.7500 0.7500
0.5000 0.5000 0.5000
0.0000 0.0000 0.0000
```

=====

Record 7
This record from Alexandria via LeMat-Bulk describes a relaxed structure of Ac2SmDy. The functional is PBE.

Calculated values
calculated formation energy	0.04	eV/atom
DOS(E_F)	1.339	states/eV/atom
distance to the lowest polymorph of the same formula	0.000	eV/atom

Geometry as POSCAR:
```
Ac2SmDy
1.0
-4.7519 1.2434 1.5911
-2.1239 -2.7711 -4.1777
-0.1521 -4.4994 3.0618
Ac Sm Dy
2 1 1
Direct
0.0000 0.0000 0.5000
0.0000 0.5000 0.0000
0.5000 0.0000 0.0000
0.5000 0.5000 0.5000
```

=====

Record 8
This record from Alexandria via LeMat-Bulk describes a relaxed structure of Ac2Sm5Dy12. The functional is PBE.

Calculated values
calculated formation energy	0.19	eV/atom
DOS(E_F)	1.397	states/eV/atom

Geometry as POSCAR:
```
Ac2Sm5Dy12
1.0
-6.3366 -0.7707 2.8988
5.2714 -9.9050 4.8878
-1.1493 14.3587 0.3637
Ac Sm Dy
2 5 12
Direct
0.7256 0.8843 0.9316
0.2744 0.1157 0.0684
0.2541 0.5495 0.5682
0.4303 0.8600 0.3197
0.0000 0.0000 0.5000
0.5697 0.1400 0.6803
0.7459 0.4505 0.4318
0.0108 0.0553 0.2697
0.1347 0.5723 0.9472
0.6577 0.6335 0.0100
0.1529 0.6206 0.3751
0.6326 0.6483 0.3707
0.5047 0.9636 0.7651
0.4953 0.0364 0.2349
0.8471 0.3794 0.6249
0.3674 0.3517 0.6293
0.8653 0.4277 0.0528
0.3423 0.3665 0.9900
0.9892 0.9447 0.7303
```

=====

Record 9
This record from Alexandria via LeMat-Bulk describes a relaxed structure of Ac5Sm2Dy2. The functional is PBE.

Calculated values
calculated formation energy	0.06	eV/atom
DOS(E_F)	1.610	states/eV/atom

Geometry as POSCAR:
```
Ac5Sm2Dy2
1.0
-5.8102 -3.0124 -0.5569
-6.7901 -0.4758 9.1823
-7.3233 3.9032 4.2539
Ac Sm Dy
5 2 2
Direct
0.9929 0.6650 0.6670
0.6624 0.8906 0.8832
0.3376 0.1094 0.1168
0.0071 0.3350 0.3330
0.0000 0.0000 0.0000
0.6616 0.5501 0.5647
0.3384 0.4499 0.4353
0.3413 0.7695 0.7809
0.6587 0.2305 0.2191
```

=====

Record 10
This record from Alexandria via LeMat-Bulk describes a relaxed structure of AcSm5Dy2. The functional is PBE.

Calculated values
calculated formation energy	0.03	eV/atom
DOS(E_F)	1.454	states/eV/atom

Geometry as POSCAR:
```
AcSm5Dy2
1.0
5.1408 0.0000 0.0000
0.0000 7.3152 0.0000
0.0000 0.0000 14.6277
Ac Sm Dy
2 10 4
Direct
0.0000 0.0000 0.5000
0.0000 0.5000 0.0000
0.0000 0.0000 0.0000
0.0000 0.5000 0.5000
0.0000 0.4978 0.7472
0.0000 0.5023 0.2528
0.0000 0.0022 0.2472
0.0000 0.9978 0.7528
0.5000 0.2453 0.8724
0.5000 0.7547 0.1276
0.5000 0.2547 0.3724
0.5000 0.7453 0.6276
0.5000 0.2512 0.6275
0.5000 0.7488 0.3725
0.5000 0.2488 0.1275
0.5000 0.7512 0.8725
```

=====

Record 11
This record from Alexandria via LeMat-Bulk describes a relaxed structure of Ac2Sm2Dy. The functional is PBE.

Calculated values
calculated formation energy	0.47	eV/atom
DOS(E_F)	1.949	states/eV/atom
distance to the lowest polymorph of the same formula	0.407	eV/atom

Geometry as POSCAR:
```
Ac2Sm2Dy
1.0
-0.3836 4.2342 2.4974
0.0267 -2.5032 4.2480
8.4766 -0.2848 -3.0826
Ac Sm Dy
2 2 1
Direct
0.7500 0.2500 0.5000
0.2500 0.7500 0.5000
0.4091 0.4091 0.8181
0.5909 0.5909 0.1819
0.0000 0.0000 0.0000
```

=====

Record 12
This record from Alexandria via LeMat-Bulk describes a relaxed structure of Ac3Sm6Dy2. The functional is PBE.

Calculated values
calculated formation energy	0.05	eV/atom
DOS(E_F)	1.358	states/eV/atom

Geometry as POSCAR:
```
Ac3Sm6Dy2
1.0
3.7233 0.0000 0.2284
1.8546 3.2285 0.2284
-0.1591 -0.0921 33.0549
Ac Sm Dy
3 6 2
Direct
0.0000 0.0000 0.0000
0.7290 0.7290 0.8129
0.2710 0.2710 0.1871
0.9061 0.9061 0.2816
0.0939 0.0939 0.7184
0.8185 0.8185 0.5444
0.1815 0.1815 0.4556
0.6355 0.6355 0.0935
0.3645 0.3645 0.9065
0.5439 0.5439 0.3684
0.4561 0.4561 0.6316
```

=====

- Among the records above, which one has the lowest DOS(E_F)?
  number 7

=====

- The highest DOS(E_F) belongs to which entry?
  Ac2Sm2Dy

=====

Copy entry 5 word for word.
This record from Alexandria via LeMat-Bulk describes a relaxed structure of Ac8Sm2Dy. The functional is PBE.

Calculated values
calculated formation energy	0.13	eV/atom
DOS(E_F)	1.739	states/eV/atom

Geometry as POSCAR:
```
Ac8Sm2Dy
1.0
5.7303 0.0000 -1.7400
-1.1120 8.2342 -3.6622
-0.0489 -0.5014 10.1447
Ac Sm Dy
8 2 1
Direct
0.6414 0.8493 0.2829
0.3586 0.5665 0.7172
0.1594 0.1594 0.3188
0.0000 0.2959 0.0000
0.8406 0.8406 0.6812
0.6414 0.4335 0.2828
0.3586 0.1507 0.7171
0.0000 0.7041 0.0000
0.1999 0.6998 0.3997
0.8001 0.3002 0.6003
0.5000 0.0000 0.0000
```